*A*
Computed, not measured: CaBe2Cr after structural relaxation at the PBEsol level of DFT.

Calculated values
* DOS at the Fermi energy: 2.77 states/eV per cell
* crystal system: orthorhombic

The structure in CIF format:
```
data_CaBe2Cr
_chemical_formula_sum 'Ca2 Be4 Cr2'
_symmetry_space_group_name_H-M 'C m m m'
_symmetry_Int_Tables_number 65
_symmetry_space_group_name_Hall '-C 2 2'
_cell_length_a 6.301
_cell_length_b 6.335
_cell_length_c 2.614
_cell_angle_alpha 90.00
_cell_angle_beta 90.00
_cell_angle_gamma 90.00
loop_
_atom_site_label
_atom_site_fract_x
_atom_site_fract_y
_atom_site_fract_z
Ca1 0.000 0.000 0.000
Be1 0.250 0.250 0.500
Cr1 0.000 0.500 0.000
```

---

*B*
Computed, not measured: CaBe2Cr after structural relaxation at the PBEsol level of DFT.

Calculated values
* DOS at the Fermi energy: 8.68 states/eV per cell
* crystal system: trigonal

The structure in CIF format:
```
data_CaBe2Cr
_chemical_formula_sum 'Ca3 Be6 Cr3'
_symmetry_space_group_name_H-M 'R -3 m'
_symmetry_Int_Tables_number 166
_symmetry_space_group_name_Hall '-R 3 2"'
_cell_length_a 2.6162
_cell_length_b 2.6162
_cell_length_c 26.4394
_cell_angle_alpha 90.00
_cell_angle_beta 90.00
_cell_angle_gamma 120.00
loop_
_atom_site_label
_atom_site_fract_x
_atom_site_fract_y
_atom_site_fract_z
Ca1 0.0000 0.0000 0.0000
Be1 0.0000 0.0000 0.2381
Cr1 0.0000 0.0000 0.5000
```

---

*C*
Computed, not measured: CaBe2Cr after structural relaxation at the PBEsol level of DFT.

Calculated values
* DOS at the Fermi energy: 6.45 states/eV per cell
* crystal system: orthorhombic

The structure in CIF format:
```
data_CaBe2Cr
_chemical_formula_sum 'Ca2 Be4 Cr2'
_symmetry_space_group_name_H-M 'I m m m'
_symmetry_Int_Tables_number 71
_symmetry_space_group_name_Hall '-I 2 2'
_cell_length_a 4.318
_cell_length_b 4.583
_cell_length_c 6.200
_cell_angle_alpha 90.00
_cell_angle_beta 90.00
_cell_angle_gamma 90.00
loop_
_atom_site_label
_atom_site_fract_x
_atom_site_fract_y
_atom_site_fract_z
Ca1 0.000 0.000 0.000
Be1 0.000 0.500 0.220
Cr1 0.000 0.000 0.500
```

---

*D*
Computed, not measured: CaBe2Cr after structural relaxation at the PBEsol level of DFT.

Calculated values
* DOS at the Fermi energy: 2.59 states/eV per cell
* crystal system: tetragonal

The structure in CIF format:
```
data_CaBe2Cr
_chemical_formula_sum 'Ca1 Be2 Cr1'
_symmetry_space_group_name_H-M 'P 4 m m'
_symmetry_Int_Tables_number 99
_symmetry_space_group_name_Hall 'P 4 -2'
_cell_length_a 2.672
_cell_length_b 2.672
_cell_length_c 7.262
_cell_angle_alpha 90.00
_cell_angle_beta 90.00
_cell_angle_gamma 90.00
loop_
_atom_site_label
_atom_site_fract_x
_atom_site_fract_y
_atom_site_fract_z
Ca1 0.000 0.000 0.000
Be1 0.000 0.000 0.540
Be2 0.500 0.500 0.687
Cr1 0.500 0.500 0.337
```

---

Least stable structure: *B*

---

*A*
Computed, not measured: KCaBe2 after structural relaxation at the PBEsol level of DFT.

Calculated values
* DOS at the Fermi energy: 2.99 states/eV per cell
* crystal system: monoclinic

The structure in CIF format:
```
data_KCaBe2
_chemical_formula_sum 'K1 Ca1 Be2'
_symmetry_space_group_name_H-M 'P 1 m 1'
_symmetry_Int_Tables_number 6
_symmetry_space_group_name_Hall 'P -2y'
_cell_length_a 4.037
_cell_length_b 4.091
_cell_length_c 7.381
_cell_angle_alpha 90.00
_cell_angle_beta 105.95
_cell_angle_gamma 90.00
loop_
_atom_site_label
_atom_site_fract_x
_atom_site_fract_y
_atom_site_fract_z
K1 0.000 0.000 0.000
Ca1 0.266 0.500 0.532
Be1 0.635 0.500 0.273
Be2 0.678 0.000 0.357
```

---

*B*
Computed, not measured: KCaBe2 after structural relaxation at the PBEsol level of DFT.

Calculated values
* DOS at the Fermi energy: 16.31 states/eV per cell
* crystal system: cubic

The structure in CIF format:
```
data_KCaBe2
_chemical_formula_sum 'K4 Ca4 Be8'
_symmetry_space_group_name_H-M 'F m -3 m'
_symmetry_Int_Tables_number 225
_symmetry_space_group_name_Hall '-F 4 2 3'
_cell_length_a 7.311
_cell_length_b 7.311
_cell_length_c 7.311
_cell_angle_alpha 90.00
_cell_angle_beta 90.00
_cell_angle_gamma 90.00
loop_
_atom_site_label
_atom_site_fract_x
_atom_site_fract_y
_atom_site_fract_z
K1 0.000 0.000 0.000
Ca1 0.000 0.000 0.500
Be1 0.250 0.250 0.250
```

---

Least stable structure: *B*

---

*A*
Computed, not measured: CaBe2Pt after structural relaxation at the PBEsol level of DFT.

Calculated values
* DOS at the Fermi energy: 3.87 states/eV per cell
* crystal system: monoclinic

The structure in CIF format:
```
data_CaBe2Pt
_chemical_formula_sum 'Ca2 Be4 Pt2'
_symmetry_space_group_name_H-M 'C 1 m 1'
_symmetry_Int_Tables_number 8
_symmetry_space_group_name_Hall 'C -2y'
_cell_length_a 6.815
_cell_length_b 3.956
_cell_length_c 5.550
_cell_angle_alpha 90.00
_cell_angle_beta 113.98
_cell_angle_gamma 90.00
loop_
_atom_site_label
_atom_site_fract_x
_atom_site_fract_y
_atom_site_fract_z
Ca1 0.000 0.000 0.000
Be1 0.177 0.000 0.534
Be2 0.488 0.000 0.469
Pt1 0.310 0.500 0.433
```

---

*B*
Computed, not measured: CaBe2Pt after structural relaxation at the PBEsol level of DFT.

Calculated values
* DOS at the Fermi energy: 1.89 states/eV per cell
* crystal system: tetragonal

The structure in CIF format:
```
data_CaBe2Pt
_chemical_formula_sum 'Ca1 Be2 Pt1'
_symmetry_space_group_name_H-M 'P 4/m m m'
_symmetry_Int_Tables_number 123
_symmetry_space_group_name_Hall '-P 4 2'
_cell_length_a 3.895
_cell_length_b 3.895
_cell_length_c 3.988
_cell_angle_alpha 90.00
_cell_angle_beta 90.00
_cell_angle_gamma 90.00
loop_
_atom_site_label
_atom_site_fract_x
_atom_site_fract_y
_atom_site_fract_z
Ca1 0.000 0.000 0.000
Be1 0.000 0.500 0.500
Pt1 0.500 0.500 0.000
```

---

Least stable structure: *B*

---

*A*
Computed, not measured: CaBe2Pt after structural relaxation at the PBEsol level of DFT.

Calculated values
* DOS at the Fermi energy: 6.27 states/eV per cell
* crystal system: trigonal

The structure in CIF format:
```
data_CaBe2Pt
_chemical_formula_sum 'Ca3 Be6 Pt3'
_symmetry_space_group_name_H-M 'R -3 m'
_symmetry_Int_Tables_number 166
_symmetry_space_group_name_Hall '-R 3 2"'
_cell_length_a 3.9201
_cell_length_b 3.9201
_cell_length_c 14.8040
_cell_angle_alpha 90.00
_cell_angle_beta 90.00
_cell_angle_gamma 120.00
loop_
_atom_site_label
_atom_site_fract_x
_atom_site_fract_y
_atom_site_fract_z
Ca1 0.0000 0.0000 0.0000
Be1 0.0000 0.0000 0.1871
Pt1 0.0000 0.0000 0.5000
```

---

*B*
Computed, not measured: CaBe2Pt after structural relaxation at the PBEsol level of DFT.

Calculated values
* DOS at the Fermi energy: 1.70 states/eV per cell
* crystal system: orthorhombic

The structure in CIF format:
```
data_CaBe2Pt
_chemical_formula_sum 'Ca1 Be2 Pt1'
_symmetry_space_group_name_H-M 'P m m 2'
_symmetry_Int_Tables_number 25
_symmetry_space_group_name_Hall 'P 2 -2'
_cell_length_a 2.908
_cell_length_b 3.156
_cell_length_c 6.526
_cell_angle_alpha 90.00
_cell_angle_beta 90.00
_cell_angle_gamma 90.00
loop_
_atom_site_label
_atom_site_fract_x
_atom_site_fract_y
_atom_site_fract_z
Ca1 0.000 0.000 0.000
Be1 0.000 0.000 0.492
Be2 0.500 0.500 0.671
Pt1 0.500 0.500 0.326
```

---

Least stable structure: *B*

---

*A*
Computed, not measured: CaBe2Rh after structural relaxation at the PBEsol level of DFT.

Calculated values
* DOS at the Fermi energy: 5.15 states/eV per cell
* crystal system: tetragonal

The structure in CIF format:
```
data_CaBe2Rh
_chemical_formula_sum 'Ca4 Be8 Rh4'
_symmetry_space_group_name_H-M 'I 41/a m d'
_symmetry_Int_Tables_number 141
_cell_length_a 4.297
_cell_length_b 4.297
_cell_length_c 15.205
_cell_angle_alpha 90.00
_cell_angle_beta 90.00
_cell_angle_gamma 90.00
loop_
_symmetry_equiv_pos_as_xyz
'x,y,z'
'-x,-y,-z'
'-y+1/4,x+3/4,z+1/4'
'y+1/4,-x+3/4,-z+1/4'
'-x+1/2,-y,z+1/2'
'x+1/2,y,-z+1/2'
'y+1/4,-x+1/4,z+3/4'
'-y+1/4,x+1/4,-z+3/4'
'x,-y,-z'
'-x,y,z'
'-y+1/4,-x+1/4,-z+3/4'
'y+1/4,x+1/4,z+3/4'
'-x+1/2,y,-z+1/2'
'x+1/2,-y,z+1/2'
'y+1/4,x+3/4,-z+1/4'
'-y+1/4,-x+3/4,z+1/4'
'x+1/2,y+1/2,z+1/2'
'-x+1/2,-y+1/2,-z+1/2'
'-y+3/4,x+1/4,z+3/4'
'y+3/4,-x+1/4,-z+3/4'
'-x,-y+1/2,z'
'x,y+1/2,-z'
'y+3/4,-x+3/4,z+1/4'
'-y+3/4,x+3/4,-z+1/4'
'x+1/2,-y+1/2,-z+1/2'
'-x+1/2,y+1/2,z+1/2'
'-y+3/4,-x+3/4,-z+1/4'
'y+3/4,x+3/4,z+1/4'
'-x,y+1/2,-z'
'x,-y+1/2,z'
'y+3/4,x+1/4,-z+3/4'
'-y+3/4,-x+1/4,z+3/4'
loop_
_atom_site_label
_atom_site_fract_x
_atom_site_fract_y
_atom_site_fract_z
Ca1 0.000 0.250 0.375
Be1 0.000 0.000 0.000
Rh1 0.000 0.250 0.875
```

---

*B*
Computed, not measured: CaBe2Rh after structural relaxation at the PBEsol level of DFT.

Calculated values
* DOS at the Fermi energy: 7.70 states/eV per cell
* crystal system: trigonal

The structure in CIF format:
```
data_CaBe2Rh
_chemical_formula_sum 'Ca3 Be6 Rh3'
_symmetry_space_group_name_H-M 'R -3 m'
_symmetry_Int_Tables_number 166
_symmetry_space_group_name_Hall '-R 3 2"'
_cell_length_a 3.8736
_cell_length_b 3.8736
_cell_length_c 14.8620
_cell_angle_alpha 90.00
_cell_angle_beta 90.00
_cell_angle_gamma 120.00
loop_
_atom_site_label
_atom_site_fract_x
_atom_site_fract_y
_atom_site_fract_z
Ca1 0.0000 0.0000 0.0000
Be1 0.0000 0.0000 0.1875
Rh1 0.0000 0.0000 0.5000
```

---

*C*
Computed, not measured: CaBe2Rh after structural relaxation at the PBEsol level of DFT.

Calculated values
* DOS at the Fermi energy: 1.82 states/eV per cell
* crystal system: monoclinic

The structure in CIF format:
```
data_CaBe2Rh
_chemical_formula_sum 'Ca1 Be2 Rh1'
_symmetry_space_group_name_H-M 'P 1 m 1'
_symmetry_Int_Tables_number 6
_symmetry_space_group_name_Hall 'P -2y'
_cell_length_a 2.988
_cell_length_b 3.521
_cell_length_c 5.890
_cell_angle_alpha 90.00
_cell_angle_beta 104.75
_cell_angle_gamma 90.00
loop_
_atom_site_label
_atom_site_fract_x
_atom_site_fract_y
_atom_site_fract_z
Ca1 0.000 0.000 0.000
Be1 0.237 0.000 0.481
Be2 0.343 0.500 0.685
Rh1 0.695 0.500 0.394
```

---

*D*
Computed, not measured: CaBe2Rh after structural relaxation at the PBEsol level of DFT.

Calculated values
* DOS at the Fermi energy: 13.75 states/eV per cell
* crystal system: cubic

The structure in CIF format:
```
data_CaBe2Rh
_chemical_formula_sum 'Ca4 Be8 Rh4'
_symmetry_space_group_name_H-M 'F m -3 m'
_symmetry_Int_Tables_number 225
_symmetry_space_group_name_Hall '-F 4 2 3'
_cell_length_a 6.046
_cell_length_b 6.046
_cell_length_c 6.046
_cell_angle_alpha 90.00
_cell_angle_beta 90.00
_cell_angle_gamma 90.00
loop_
_atom_site_label
_atom_site_fract_x
_atom_site_fract_y
_atom_site_fract_z
Ca1 0.000 0.000 0.000
Be1 0.250 0.250 0.250
Rh1 0.000 0.000 0.500
```

---

Least stable structure: *D*